# 1
InAu2O2: optimized geometry, GGA-PBE.

Calculated values
DFT total energy	-3.65	eV per atom
ΔE to the lowest computed polymorph	0.0	kJ/mol of formula units
magnetic moment	0.00	μB per atom

Unit cell a=4.386 b=4.386 c=5.364 alpha=65.87 beta=65.87 gamma=90.00
Sites, in units of the cell vectors:
Au  0.333  0.333  0.335
Au  0.667  0.667  0.665
O  0.750  0.250  0.500
O  0.250  0.750  0.500
In  0.000  0.000  0.000

=====

# 2
InAu2O2: optimized geometry, GGA-PBE.

Calculated values
DFT total energy	-3.52	eV per atom
ΔE to the lowest computed polymorph	61.5	kJ/mol of formula units
magnetic moment	0.00	μB per atom

Unit cell a=7.102 b=7.102 c=3.042 alpha=90.00 beta=90.00 gamma=90.00
Sites, in units of the cell vectors:
Au  0.367  0.867  0.000
Au  0.867  0.633  0.000
Au  0.633  0.133  0.000
Au  0.133  0.367  0.000
O  0.185  0.685  0.500
O  0.685  0.815  0.500
O  0.815  0.315  0.500
O  0.315  0.185  0.500
In  0.000  0.000  0.000
In  0.500  0.500  0.000

=====

# 3
InAu2O: optimized geometry, GGA-PBE.

Calculated values
DFT total energy	-3.34	eV per atom
ΔE to the lowest computed polymorph	45.8	kJ/mol of formula units
magnetic moment	0.03	μB per atom

Unit cell a=4.577 b=4.577 c=4.577 alpha=60.00 beta=60.00 gamma=60.00
Sites, in units of the cell vectors:
Au  0.250  0.250  0.250
Au  0.750  0.750  0.750
O  0.000  0.000  0.000
In  0.500  0.500  0.500

=====

# 4
InAu2O: optimized geometry, GGA-PBE.

Calculated values
DFT total energy	-3.46	eV per atom
ΔE to the lowest computed polymorph	0.0	kJ/mol of formula units
magnetic moment	0.00	μB per atom

Unit cell a=5.099 b=5.099 c=7.699 alpha=70.66 beta=70.66 gamma=90.00
Sites, in units of the cell vectors:
Au  0.507  0.125  0.250
Au  0.243  0.625  0.250
Au  0.375  0.493  0.750
Au  0.875  0.757  0.750
O  0.500  0.500  0.000
O  0.250  0.750  0.500
In  0.000  0.000  0.000
In  0.750  0.250  0.500

=====

So what do the calculations give for D(E_F)? Going down the list: 5.30; 4.11; 2.51; 2.51 states/eV/f.u..